No. 1
# PBE CaRe, relaxed
# Energy above the most stable polymorph in this dataset = 0.692 eV per atom
# Crystal system = hexagonal
# Energy of formation = 0.995 eV/atom
data_CaRe
_chemical_formula_sum 'Ca6 Re6'
_space_group_name_H-M_alt 'P 63/m'
_space_group_IT_number 176
_space_group_name_Hall '-P 6c'
_cell_length_a 11.2201
_cell_length_b 11.2201
_cell_length_c 3.4419
_cell_angle_alpha 90.00
_cell_angle_beta 90.00
_cell_angle_gamma 120.00
loop_
_atom_site_label
_atom_site_fract_x
_atom_site_fract_y
_atom_site_fract_z
Ca1 0.1015 0.3300 0.2500
Re1 0.0723 0.5698 0.2500

---

No. 2
# PBE NaTi2Sb, relaxed
# Formation energy (no corrections) = 0.451 eV per atom
# Crystal system = tetragonal
data_NaTi2Sb
_chemical_formula_sum 'Na4 Ti8 Sb4'
_space_group_name_H-M_alt 'I -4 2 d'
_space_group_IT_number 122
_space_group_name_Hall 'I -4 2bw'
_cell_length_a 7.8329
_cell_length_b 7.8329
_cell_length_c 5.6820
_cell_angle_alpha 90.00
_cell_angle_beta 90.00
_cell_angle_gamma 90.00
loop_
_atom_site_label
_atom_site_fract_x
_atom_site_fract_y
_atom_site_fract_z
Na1 0.0000 0.0000 0.0000
Ti1 0.2301 0.7500 0.6250
Sb1 0.0000 0.0000 0.5000

---

No. 3
# PBE AsI2Br, relaxed
# Energy above the most stable polymorph in this dataset = 0.434 eV per atom
# Formation energy (no corrections) = 0.184 eV per atom
# Crystal system = tetragonal
data_AsI2Br
_chemical_formula_sum 'As4 I8 Br4'
_space_group_name_H-M_alt 'I -4 2 d'
_space_group_IT_number 122
_space_group_name_Hall 'I -4 2bw'
_cell_length_a 8.3333
_cell_length_b 8.3333
_cell_length_c 8.4556
_cell_angle_alpha 90.00
_cell_angle_beta 90.00
_cell_angle_gamma 90.00
loop_
_atom_site_label
_atom_site_fract_x
_atom_site_fract_y
_atom_site_fract_z
As1 0.0000 0.0000 0.0000
I1 0.1916 0.2500 0.1250
Br1 0.0000 0.0000 0.5000

---

No. 4
# PBE LaMg2Re, relaxed
# Energy above the most stable polymorph in this dataset = 0.024 eV per atom
# Crystal system = tetragonal
# Energy of formation = 0.325 eV/atom
data_LaMg2Re
_chemical_formula_sum 'La1 Mg2 Re1'
_space_group_name_H-M_alt 'P 4 m m'
_space_group_IT_number 99
_cell_length_a 3.4938
_cell_length_b 3.4938
_cell_length_c 7.6255
_cell_angle_alpha 90.00
_cell_angle_beta 90.00
_cell_angle_gamma 90.00
loop_
_space_group_symop_operation_xyz
'x,y,z'
'-y,x,z'
'-x,-y,z'
'y,-x,z'
'-x,y,z'
'y,x,z'
'x,-y,z'
'-y,-x,z'
loop_
_atom_site_label
_atom_site_fract_x
_atom_site_fract_y
_atom_site_fract_z
La1 0.0000 0.0000 0.0000
Mg1 0.0000 0.0000 0.5925
Mg2 0.5000 0.5000 0.3683
Re1 0.5000 0.5000 0.7642

---

No. 5
# PBE La2SiNi, relaxed
# Formation energy (no corrections) = -0.187 eV per atom
# Crystal system = tetragonal
data_La2SiNi
_chemical_formula_sum 'La2 Si1 Ni1'
_space_group_name_H-M_alt 'P 4 m m'
_space_group_IT_number 99
_cell_length_a 3.2295
_cell_length_b 3.2295
_cell_length_c 8.8153
_cell_angle_alpha 90.00
_cell_angle_beta 90.00
_cell_angle_gamma 90.00
loop_
_space_group_symop_operation_xyz
'x,y,z'
'-y,x,z'
'-x,-y,z'
'y,-x,z'
'-x,y,z'
'y,x,z'
'x,-y,z'
'-y,-x,z'
loop_
_atom_site_label
_atom_site_fract_x
_atom_site_fract_y
_atom_site_fract_z
La1 0.0000 0.0000 0.0000
La2 0.5000 0.5000 0.3957
Si1 0.5000 0.5000 0.7481
Ni1 0.0000 0.0000 0.6446

---

No. 6
# PBE K2NaH2Br, relaxed
# DFT total energy = -2.6637 eV per atom
# Crystal system = tetragonal
data_K2NaH2Br
_chemical_formula_sum 'K2 Na1 H2 Br1'
_space_group_name_H-M_alt 'P 4/m m m'
_space_group_IT_number 123
_space_group_name_Hall '-P 4 2'
_cell_length_a 4.4177
_cell_length_b 4.4177
_cell_length_c 7.0950
_cell_angle_alpha 90.00
_cell_angle_beta 90.00
_cell_angle_gamma 90.00
loop_
_atom_site_label
_atom_site_fract_x
_atom_site_fract_y
_atom_site_fract_z
K1 0.0000 0.0000 0.2460
Na1 0.5000 0.5000 0.0000
H1 0.0000 0.5000 0.0000
Br1 0.5000 0.5000 0.5000

---

No. 7
# PBE GdDyCo, relaxed
# Energy above the most stable polymorph in this dataset = 0.000 eV per atom
# Crystal system = tetragonal
# Energy of formation = -0.099 eV/atom
data_GdDyCo
_chemical_formula_sum 'Gd2 Dy2 Co2'
_space_group_name_H-M_alt 'I 4 m m'
_space_group_IT_number 107
_space_group_name_Hall 'I 4 -2'
_cell_length_a 3.3766
_cell_length_b 3.3766
_cell_length_c 12.7280
_cell_angle_alpha 90.00
_cell_angle_beta 90.00
_cell_angle_gamma 90.00
loop_
_atom_site_label
_atom_site_fract_x
_atom_site_fract_y
_atom_site_fract_z
Gd1 0.0000 0.0000 0.0000
Dy1 0.0000 0.0000 0.2551
Co1 0.0000 0.0000 0.6294

---

No. 8
# PBE Ag2HgIr, relaxed
# Crystal system = tetragonal
# Energy of formation = 0.575 eV/atom
data_Ag2HgIr
_chemical_formula_sum 'Ag8 Hg4 Ir4'
_space_group_name_H-M_alt 'I -4 2 d'
_space_group_IT_number 122
_space_group_name_Hall 'I -4 2bw'
_cell_length_a 3.9270
_cell_length_b 3.9270
_cell_length_c 20.0002
_cell_angle_alpha 90.00
_cell_angle_beta 90.00
_cell_angle_gamma 90.00
loop_
_atom_site_label
_atom_site_fract_x
_atom_site_fract_y
_atom_site_fract_z
Ag1 0.2423 0.2500 0.1250
Hg1 0.0000 0.0000 0.5000
Ir1 0.0000 0.0000 0.0000

---

No. 9
# PBE Pu2TiIr, relaxed
# Crystal system = tetragonal
# Energy of formation = 0.009 eV/atom
data_Pu2TiIr
_chemical_formula_sum 'Pu2 Ti1 Ir1'
_space_group_name_H-M_alt 'P 4/m m m'
_space_group_IT_number 123
_space_group_name_Hall '-P 4 2'
_cell_length_a 3.5628
_cell_length_b 3.5628
_cell_length_c 5.2752
_cell_angle_alpha 90.00
_cell_angle_beta 90.00
_cell_angle_gamma 90.00
loop_
_atom_site_label
_atom_site_fract_x
_atom_site_fract_y
_atom_site_fract_z
Pu1 0.0000 0.5000 0.0000
Ti1 0.0000 0.0000 0.5000
Ir1 0.5000 0.5000 0.5000

---

No. 10
# PBE Th8OsPt3Se4, relaxed
# Formation energy (no corrections) = -1.323 eV per atom
# Crystal system = monoclinic
data_Th8OsPt3Se4
_chemical_formula_sum 'Th16 Os2 Pt6 Se8'
_space_group_name_H-M_alt 'C 1 2/m 1'
_space_group_IT_number 12
_cell_length_a 14.3751
_cell_length_b 8.3002
_cell_length_c 8.7636
_cell_angle_alpha 90.00
_cell_angle_beta 123.14
_cell_angle_gamma 90.00
loop_
_space_group_symop_operation_xyz
'x,y,z'
'-x,-y,-z'
'-x,y,-z'
'x,-y,z'
'x+1/2,y+1/2,z'
'-x+1/2,-y+1/2,-z'
'-x+1/2,y+1/2,-z'
'x+1/2,-y+1/2,z'
loop_
_atom_site_label
_atom_site_fract_x
_atom_site_fract_y
_atom_site_fract_z
Th1 0.0056 0.2437 0.2754
Th2 0.2369 0.0000 0.7235
Th3 0.2435 0.5000 0.7278
Os1 0.0000 0.0000 0.5000
Pt1 0.0000 0.5000 0.5000
Pt2 0.2500 0.2500 0.5000
Se1 0.0000 0.0000 0.0000
Se2 0.0000 0.5000 0.0000
Se3 0.2500 0.2500 0.0000

---

No. 11
# PBE VCu3Te, relaxed
# Energy above the most stable polymorph in this dataset = 0.000 eV per atom
# Formation energy (no corrections) = 1.129 eV per atom
# Crystal system = cubic
data_VCu3Te
_chemical_formula_sum 'V1 Cu3 Te1'
_space_group_name_H-M_alt 'P m -3 m'
_space_group_IT_number 221
_space_group_name_Hall '-P 4 2 3'
_cell_length_a 4.8178
_cell_length_b 4.8178
_cell_length_c 4.8178
_cell_angle_alpha 90.00
_cell_angle_beta 90.00
_cell_angle_gamma 90.00
loop_
_atom_site_label
_atom_site_fract_x
_atom_site_fract_y
_atom_site_fract_z
V1 0.0000 0.0000 0.0000
Cu1 0.0000 0.5000 0.5000
Te1 0.5000 0.5000 0.5000

---

No. 12
# PBE MnCuTc, relaxed
# Energy above the most stable polymorph in this dataset = 0.020 eV per atom
# Crystal system = tetragonal
# Energy of formation = 0.187 eV/atom
data_MnCuTc
_chemical_formula_sum 'Mn2 Cu2 Tc2'
_space_group_name_H-M_alt 'I 4 m m'
_space_group_IT_number 107
_space_group_name_Hall 'I 4 -2'
_cell_length_a 3.0741
_cell_length_b 3.0741
_cell_length_c 8.1876
_cell_angle_alpha 90.00
_cell_angle_beta 90.00
_cell_angle_gamma 90.00
loop_
_atom_site_label
_atom_site_fract_x
_atom_site_fract_y
_atom_site_fract_z
Mn1 0.0000 0.0000 0.0000
Cu1 0.0000 0.0000 0.3366
Tc1 0.0000 0.0000 0.6576

---

How do the records compare in total moment? In the order shown, they have 0.00 0.00 0.00 0.00 0.00 0.00 2.16 0.00 0.01 0.00 0.76 0.40 μB per atom.